The following is a PBE-GGA calculation of an optimized crystal structure of CoTcNi, from Alexandria.

Geometry as CIF:
```
data_CoTcNi
_chemical_formula_sum 'Co4 Tc4 Ni4'
_cell_length_a 5.479
_cell_length_b 5.479
_cell_length_c 5.479
_cell_angle_alpha 90.00
_cell_angle_beta 90.00
_cell_angle_gamma 90.00
_symmetry_space_group_name_H-M 'F -4 3 m'
_symmetry_Int_Tables_number 216
_symmetry_space_group_name_Hall 'F -4 2 3'
loop_
_atom_site_label
_atom_site_fract_x
_atom_site_fract_y
_atom_site_fract_z
Co1 0.000 0.000 0.000
Tc1 0.250 0.250 0.750
Ni1 0.250 0.250 0.250
```

Results
* size of the total moment: 0.448 μB/atom
* ΔH_f (0 K): 0.5024 eV/atom
* E above lowest polymorph: 47.7 kJ per mole of atoms
* energy: -7.249 eV/atom
* crystal system: cubic


The following is a PBE-GGA calculation of an optimized crystal structure of CoTcNi, from Alexandria.

Geometry as CIF:
```
data_CoTcNi
_chemical_formula_sum 'Co2 Tc2 Ni2'
_cell_length_a 2.589
_cell_length_b 3.618
_cell_length_c 7.612
_cell_angle_alpha 90.00
_cell_angle_beta 90.00
_cell_angle_gamma 90.00
_symmetry_space_group_name_H-M 'I m m 2'
_symmetry_Int_Tables_number 44
loop_
_symmetry_equiv_pos_as_xyz
'x,y,z'
'-x,-y,z'
'-x,y,z'
'x,-y,z'
'x+1/2,y+1/2,z+1/2'
'-x+1/2,-y+1/2,z+1/2'
'-x+1/2,y+1/2,z+1/2'
'x+1/2,-y+1/2,z+1/2'
loop_
_atom_site_label
_atom_site_fract_x
_atom_site_fract_y
_atom_site_fract_z
Co1 0.000 0.000 0.000
Tc1 0.000 0.000 0.336
Ni1 0.000 0.000 0.666
```

Results
* size of the total moment: 0.000 μB/atom
* ΔH_f (0 K): 0.0080 eV/atom
* E above lowest polymorph: 0.0 kJ per mole of atoms
* energy: -7.743 eV/atom
* crystal system: orthorhombic


The following is a PBE-GGA calculation of an optimized crystal structure of CoTcNi, from Alexandria.

Geometry as CIF:
```
data_CoTcNi
_chemical_formula_sum 'Co1 Tc1 Ni1'
_cell_length_a 4.0506
_cell_length_b 4.0506
_cell_length_c 2.5184
_cell_angle_alpha 90.00
_cell_angle_beta 90.00
_cell_angle_gamma 120.00
_symmetry_space_group_name_H-M 'P -6 m 2'
_symmetry_Int_Tables_number 187
_symmetry_space_group_name_Hall 'P -6 2'
loop_
_atom_site_label
_atom_site_fract_x
_atom_site_fract_y
_atom_site_fract_z
Co1 0.0000 0.0000 0.0000
Tc1 0.3333 0.6667 0.5000
Ni1 0.6667 0.3333 0.0000
```

Results
* size of the total moment: 0.255 μB/atom
* ΔH_f (0 K): 0.0455 eV/atom
* E above lowest polymorph: 3.6 kJ per mole of atoms
* energy: -7.706 eV/atom
* crystal system: hexagonal